[1]
## SrVAsBr2 (PBE-GGA)

Data for crystalline SrVAsBr2 at its relaxed geometry.

Cell and atoms, written as POSCAR:
```
SrVAsBr2
1.0
5.6767 0.0000 0.0000
0.0000 5.6767 0.0000
0.0000 0.0000 6.1685
Sr V As Br
1 1 1 2
direct
0.0000 0.0000 0.0000
0.5000 0.5000 0.5000
0.0000 0.0000 0.5000
0.0000 0.5000 0.0000
0.5000 0.0000 0.0000
```

Output
ΔE_f (raw) (eV/atom): 0.446
Final energy (eV per atom): -3.313

---

[2]
## P2BrCl (PBE-GGA)

Data for crystalline P2BrCl at its relaxed geometry.

Cell and atoms, written as POSCAR:
```
P2BrCl
1.0
-3.7403 3.7403 3.0312
3.7403 -3.7403 3.0312
3.7403 3.7403 -3.0312
P Br Cl
4 2 2
direct
0.1238 0.6250 0.9988
0.3750 0.3738 0.4988
0.6262 0.1250 0.0012
0.8750 0.8762 0.5012
0.2500 0.7500 0.5000
0.5000 0.5000 0.0000
0.0000 0.0000 0.0000
0.7500 0.2500 0.5000
```

Output
ΔE_f (raw) (eV/atom): 0.872
Final energy (eV per atom): -2.713

---

[3]
## Li2CrOsC (PBE-GGA)

Data for crystalline Li2CrOsC at its relaxed geometry.

Cell and atoms, written as POSCAR:
```
Li2CrOsC
1.0
3.8267 0.0000 0.0000
0.0000 3.8267 0.0000
0.0000 0.0000 3.9631
Li Cr Os C
2 1 1 1
direct
0.0000 0.5000 0.0000
0.5000 0.0000 0.0000
0.0000 0.0000 0.5000
0.5000 0.5000 0.5000
0.5000 0.5000 0.0000
```

Output
Energy of formation from the pure elements (eV per atom): 0.6654
Final energy (eV per atom): -6.116

---

[4]
## AgTe2Ru (PBE-GGA)

Data for crystalline AgTe2Ru at its relaxed geometry.

Cell and atoms, written as POSCAR:
```
AgTe2Ru
1.0
3.2123 0.0000 0.0000
0.0000 3.2123 0.0000
0.0000 0.0000 8.9311
Ag Te Ru
1 2 1
direct
0.0000 0.0000 0.0000
0.0000 0.0000 0.3723
0.5000 0.5000 0.7558
0.5000 0.5000 0.2189
```

Output
ΔE_f (raw) (eV/atom): 0.145
Final energy (eV per atom): -4.457

---

[5]
## SrPr5Sn3 (PBE-GGA)

Data for crystalline SrPr5Sn3 at its relaxed geometry.

Cell and atoms, written as POSCAR:
```
SrPr5Sn3
1.0
9.7559 0.0000 0.0000
-4.8779 8.4489 0.0000
0.0000 0.0000 6.9207
Sr Pr Sn
2 10 6
direct
0.0000 0.0000 0.0000
0.0000 0.0000 0.5000
0.0000 0.3356 0.2500
0.0000 0.6644 0.7500
0.3333 0.6667 0.0000
0.3333 0.6667 0.5000
0.3356 0.0000 0.2500
0.3356 0.3356 0.7500
0.6644 0.0000 0.7500
0.6644 0.6644 0.2500
0.6667 0.3333 0.0000
0.6667 0.3333 0.5000
0.0000 0.3357 0.7500
0.0000 0.6643 0.2500
0.3357 0.0000 0.7500
0.3357 0.3357 0.2500
0.6643 0.0000 0.2500
0.6643 0.6643 0.7500
```

Output
Energy of formation from the pure elements (eV per atom): -0.5647
Final energy (eV per atom): -4.741

---

[6]
## CsPuCdO4 (PBE-GGA)

Data for crystalline CsPuCdO4 at its relaxed geometry.

Cell and atoms, written as POSCAR:
```
CsPuCdO4
1.0
5.9892 0.0000 0.0000
0.0000 6.7164 0.0000
-2.5652 0.0000 7.4306
Cs Pu Cd O
2 2 2 8
direct
0.2426 0.2500 0.0677
0.7574 0.7500 0.9323
0.0029 0.7500 0.5215
0.9971 0.2500 0.4785
0.4674 0.7500 0.4218
0.5326 0.2500 0.5782
0.2072 0.5063 0.4087
0.2072 0.9937 0.4087
0.2365 0.7500 0.7501
0.2534 0.2500 0.7084
0.7466 0.7500 0.2916
0.7635 0.2500 0.2499
0.7928 0.0063 0.5913
0.7928 0.4937 0.5913
```

Output
ΔE_f (raw) (eV/atom): -1.917
Final energy (eV per atom): -7.050